Here is a geometry-optimized ZnHgBi2Te structure from the Alexandria database. Energies are from PBE.

Lattice parameters (Å, degrees): 5.7676 5.7676 5.6878 90.00 90.00 90.00
Closest atoms and distances in Å follow each position.
Space group P4/mmm (No. 123)
Unique sites:
Zn: 0.0000 0.0000 0.0000 [1 per cell]  8 Bi 4.05, 4 Te 4.08
Hg: 0.5000 0.5000 0.5000 [1 per cell]  2 Te 2.84, 4 Bi 2.88
Bi: 0.0000 0.5000 0.5000 [2 per cell]  2 Hg 2.88
Te: 0.5000 0.5000 0.0000 [1 per cell]  2 Hg 2.84

Properties
**Uncorrected formation energy**: 0.751 eV per atom
**Density of states at the Fermi level**: 5.31 states/eV/cell
**Electronic total energy**: -8.73 eV/cell
**Total magnetic moment**: 0.000 μB/f.u.

---

Here is a geometry-optimized Th2HgBi structure from the Alexandria database. Energies are from PBE.

Lattice parameters (Å, degrees): 4.0895 4.0895 7.0440 90.00 90.00 90.00
Closest atoms and distances in Å follow each position.
Space group P4/mmm (No. 123)
Unique sites:
Th: 0.0000 0.0000 0.2464 [2 per cell]  4 Hg 3.37, 4 Bi 3.40, 2 Th 3.47-3.57
Hg: 0.5000 0.5000 0.0000 [1 per cell]  8 Th 3.37, 2 Bi 3.52
Bi: 0.5000 0.5000 0.5000 [1 per cell]  8 Th 3.40, 2 Hg 3.52

Properties
**Density of states at the Fermi level**: 3.11 states/eV/cell
**Electronic total energy**: -20.49 eV/cell
**Energy relative to the lowest polymorph listed for this composition**: 0.0 meV per atom
**Energy relative to the elements**: -0.366 eV per atom
**Total magnetic moment**: 0.000 μB/f.u.

---

Here is a geometry-optimized Th2HgBi structure from the Alexandria database. Energies are from PBE.

Lattice parameters (Å, degrees): 4.1777 4.1777 25.9682 90.00 90.00 120.00
Closest atoms and distances in Å follow each position.
Space group R3m (No. 160, hexagonal axes)
Unique sites:
Th: 0.0000 0.0000 0.0000 [3 per cell]  3 Bi 3.22, 3 Hg 3.23
Th: 0.0000 0.0000 0.1678 [3 per cell]  3 Bi 3.24, 3 Hg 3.27
Hg: 0.0000 0.0000 0.4161 [3 per cell]  6 Th 3.23-3.27
Bi: 0.0000 0.0000 0.5843 [3 per cell]  6 Th 3.22-3.24

Properties
**Density of states at the Fermi level**: 16.35 states/eV/cell
**Electronic total energy**: -59.39 eV/cell
**Energy relative to the lowest polymorph listed for this composition**: 172.2 meV per atom
**Energy relative to the elements**: -0.194 eV per atom
**Total magnetic moment**: 0.002 μB/f.u.

---

Here is a geometry-optimized Th6Hg2Bi structure from the Alexandria database. Energies are from PBE.

Lattice parameters (Å, degrees): 12.4654 14.6628 6.1873 90.00 104.37 90.00
Closest atoms and distances in Å follow each position.
Space group C2/c (No. 15)
Unique sites:
Th: 0.0512 0.1944 0.0275 [8 per cell]  5 Th 3.31-3.58, 2 Hg 3.36, 1 Bi 3.46
Th: 0.1550 0.4056 0.8005 [8 per cell]  2 Hg 3.37-3.43, 3 Bi 3.40-3.76, 5 Th 3.42-3.76
Th: 0.2333 0.1686 0.6662 [8 per cell]  2 Hg 3.21-3.22, 5 Th 3.25-3.58, 1 Bi 3.39
Hg: 0.1219 0.0059 0.3391 [8 per cell]  3 Hg 2.97-3.10, 2 Th 3.21-3.22
Bi: 0.0000 0.4015 0.2500 [4 per cell]  10 Th 3.39-3.76

Properties
**Density of states at the Fermi level**: 46.97 states/eV/cell
**Electronic total energy**: -199.75 eV/cell
**Energy relative to the elements**: -0.104 eV per atom
**Total magnetic moment**: 0.000 μB/f.u.

---

Here is a geometry-optimized Th4Hg3Bi structure from the Alexandria database. Energies are from PBE.

Lattice parameters (Å, degrees): 11.3892 6.9787 5.7652 90.00 90.00 90.00
Closest atoms and distances in Å follow each position.
Space group Pmma (No. 51)
Unique sites:
Th: 0.0000 0.2459 0.0000 [4 per cell]  6 Hg 3.35-3.37, 2 Bi 3.38, 2 Th 3.43-3.55
Th: 0.2500 0.2461 0.4297 [4 per cell]  6 Hg 3.30-3.43, 2 Bi 3.38, 2 Th 3.44-3.54
Hg: 0.0000 0.0000 0.5000 [2 per cell]  8 Th 3.35, 2 Bi 3.49, 2 Hg 3.73
Hg: 0.2500 0.0000 0.9190 [2 per cell]  8 Th 3.30-3.41, 2 Hg 3.49
Hg: 0.2500 0.5000 0.9400 [2 per cell]  8 Th 3.33-3.43, 2 Hg 3.49
Bi: 0.0000 0.5000 0.5000 [2 per cell]  8 Th 3.38, 2 Hg 3.49

Properties
**Density of states at the Fermi level**: 17.06 states/eV/cell
**Electronic total energy**: -73.15 eV/cell
**Energy relative to the elements**: -0.264 eV per atom
**Total magnetic moment**: 0.000 μB/f.u.

---

Here is a geometry-optimized ThHgBi2 structure from the Alexandria database. Energies are from PBE.

Lattice parameters (Å, degrees): 4.8770 4.8770 26.7658 90.00 90.00 120.00
Closest atoms and distances in Å follow each position.
Space group R-3m (No. 166, hexagonal axes)
Unique sites:
Th: 0.0000 0.0000 0.0000 [3 per cell]  6 Bi 3.25
Hg: 0.0000 0.0000 0.5000 [3 per cell]  2 Bi 2.83
Bi: 0.0000 0.0000 0.3943 [6 per cell]  1 Hg 2.83

Properties
**Density of states at the Fermi level**: 2.15 states/eV/cell
**Electronic total energy**: -46.65 eV/cell
**Energy relative to the lowest polymorph listed for this composition**: 344.5 meV per atom
**Energy relative to the elements**: -0.017 eV per atom
**Total magnetic moment**: 0.000 μB/f.u.